(1)
DFT (PBE) results for a relaxed structure of TaCo4.

Values from the calculation:
- Raw total energy: -7.9941 eV per atom
- Energy relative to the elements: 0.062 eV per atom
- V: 12.2 Å³/atom

a b c (Å): 8.864 8.864 4.676
angles (deg): 90.00 90.00 90.00
Positions (direct):
Ta  0.000  0.000  0.000
Ta  0.119  0.119  0.500
Ta  0.381  0.619  0.000
Ta  0.500  0.500  0.500
Ta  0.619  0.381  0.000
Ta  0.881  0.881  0.500
Co  0.039  0.376  0.500
Co  0.066  0.272  0.000
Co  0.124  0.539  0.000
Co  0.186  0.814  0.254
Co  0.186  0.814  0.746
Co  0.228  0.566  0.500
Co  0.272  0.066  0.000
Co  0.314  0.314  0.246
Co  0.314  0.314  0.754
Co  0.376  0.039  0.500
Co  0.434  0.772  0.500
Co  0.461  0.876  0.000
Co  0.539  0.124  0.000
Co  0.566  0.228  0.500
Co  0.624  0.961  0.500
Co  0.686  0.686  0.246
Co  0.686  0.686  0.754
Co  0.728  0.934  0.000
Co  0.772  0.434  0.500
Co  0.814  0.186  0.254
Co  0.814  0.186  0.746
Co  0.876  0.461  0.000
Co  0.934  0.728  0.000
Co  0.961  0.624  0.500

---

(2)
DFT (PBE) results for a relaxed structure of Pr2SiO5.

Values from the calculation:
- Raw total energy: -8.2165 eV per atom
- E above lowest polymorph: 0.000 kcal/mol of atoms
- V: 13.8 Å³/atom

a b c (Å): 9.314 7.180 6.948
angles (deg): 90.00 107.91 90.00
Positions (direct):
Pr  0.025  0.121  0.237
Pr  0.025  0.379  0.737
Pr  0.390  0.149  0.093
Pr  0.390  0.351  0.593
Pr  0.610  0.649  0.407
Pr  0.610  0.851  0.907
Pr  0.975  0.621  0.263
Pr  0.975  0.879  0.763
Si  0.297  0.589  0.046
Si  0.297  0.911  0.546
Si  0.703  0.089  0.454
Si  0.703  0.411  0.954
O  0.117  0.639  0.994
O  0.117  0.861  0.494
O  0.119  0.123  0.956
O  0.119  0.377  0.456
O  0.299  0.063  0.367
O  0.299  0.437  0.867
O  0.360  0.038  0.750
O  0.360  0.462  0.250
O  0.405  0.731  0.566
O  0.405  0.769  0.066
O  0.595  0.231  0.934
O  0.595  0.269  0.434
O  0.640  0.538  0.750
O  0.640  0.962  0.250
O  0.701  0.563  0.133
O  0.701  0.937  0.633
O  0.881  0.623  0.544
O  0.881  0.877  0.044
O  0.883  0.139  0.506
O  0.883  0.361  0.006

---

(3)
DFT (PBE) results for a relaxed structure of PrDyCd2Ag4.

Values from the calculation:
- Raw total energy: -3.0919 eV per atom
- Energy relative to the elements: -0.284 eV per atom
- V: 22.2 Å³/atom

a b c (Å): 5.010 5.010 7.081
angles (deg): 90.00 90.00 90.00
Positions (direct):
Pr  0.000  0.000  0.000
Dy  0.500  0.500  0.500
Cd  0.000  0.000  0.500
Cd  0.500  0.500  0.000
Ag  0.000  0.500  0.263
Ag  0.000  0.500  0.737
Ag  0.500  0.000  0.263
Ag  0.500  0.000  0.737

---

(4)
DFT (PBE) results for a relaxed structure of BPOsO.

Values from the calculation:
- Raw total energy: -7.1273 eV per atom
- E above lowest polymorph: 8.969 kcal/mol of atoms
- V: 12.9 Å³/atom

a b c (Å): 3.683 3.683 7.597
angles (deg): 90.00 90.00 90.00
Positions (direct):
B  0.250  0.250  0.062
B  0.750  0.750  0.938
P  0.250  0.250  0.318
P  0.750  0.750  0.682
Os  0.250  0.750  0.500
Os  0.750  0.250  0.500
O  0.250  0.750  0.000
O  0.750  0.250  0.000

---

(5)
DFT (PBE) results for a relaxed structure of LuAgAsO.

Values from the calculation:
- Raw total energy: -5.1965 eV per atom
- E above lowest polymorph: 15.202 kcal/mol of atoms
- V: 18.6 Å³/atom

a b c (Å): 5.613 5.613 4.732
angles (deg): 90.00 90.00 90.00
Positions (direct):
Lu  0.250  0.750  0.000
Lu  0.750  0.250  0.000
Ag  0.250  0.250  0.494
Ag  0.750  0.750  0.506
As  0.250  0.250  0.994
As  0.750  0.750  0.006
O  0.250  0.750  0.500
O  0.750  0.250  0.500

---

(6)
DFT (PBE) results for a relaxed structure of Rb2TaPdS6.

Values from the calculation:
- Raw total energy: -4.9869 eV per atom
- V: 24.4 Å³/atom

a b c (Å): 8.108 8.108 4.950
angles (deg): 90.23 90.23 48.59
Positions (direct):
Rb  0.209  0.209  0.287
Rb  0.791  0.791  0.713
Ta  0.500  0.500  0.500
Pd  0.000  0.000  0.000
S  0.165  0.672  0.231
S  0.328  0.835  0.769
S  0.374  0.374  0.804
S  0.626  0.626  0.196
S  0.672  0.165  0.231
S  0.835  0.328  0.769

---

| no. | ρ (g cm⁻³) |
| --- | --- |
| 1 | 11.30 |
| 2 | 5.86 |
| 3 | 8.97 |
| 4 | 7.99 |
| 5 | 8.33 |
| 6 | 4.43 |